UFeP2Ru | Alexandria via LeMat-Bulk | GGA-PBE | relaxed; ΔH_f (0 K) = -743 meV per atom; DOS(E_F) = 6.84 states/eV/cell; symmetry = I-4m2, No. 119
1.0
3.9014 0.0000 0.0000
0.0000 3.9014 0.0000
-1.9507 -1.9507 4.7923
U Fe P Ru
1 1 2 1
direct
0.0000 0.0000 0.0000
0.7500 0.2500 0.5000
0.3797 0.3797 0.7594
0.6203 0.6203 0.2406
0.2500 0.7500 0.5000